Entry 1:
DFT (PBE) results for crystalline Sm6Ge2Te3As at its relaxed geometry.

- DOS at the Fermi energy: 2.39 states/eV per cell
- Magnetic moment: 0.0 μB per formula unit
- V: 350 Å³/cell
- ΔE_f (raw): -1335.2 meV per atom

Cell: 4.3203 8.7815 9.7777 Å, 104.15 102.76 90.00°
Positions (direct):
Sm (0.6726, 0.5680, 0.3451)
Sm (0.3384, 0.8998, 0.6768)
Sm (0.6616, 0.1002, 0.3232)
Te (0.8344, 0.1663, 0.6687)
Te (0.1656, 0.8337, 0.3313)
Sm (0.3274, 0.4320, 0.6549)
Ge (0.1664, 0.3324, 0.3327)
As (0.5000, 0.0000, 0.0000)
Te (0.5000, 0.5000, 0.0000)
Ge (0.8336, 0.6676, 0.6673)
Sm (0.0073, 0.2363, 0.0147)
Sm (0.9927, 0.7637, 0.9853)



Entry 2:
DFT (PBE) results for crystalline Sm8Ge3Te4As at its relaxed geometry.

- DOS at the Fermi energy: 3.62 states/eV per cell
- Magnetic moment: 0.0 μB per formula unit
- V: 468 Å³/cell
- ΔE_f (raw): -1308.1 meV per atom

Cell: 8.6409 8.7863 8.6411 Å, 119.46 120.00 90.00°
Positions (direct):
Te (0.5000, 0.0000, 0.5000)
Sm (0.2615, 0.2780, 0.0198)
Sm (0.7582, 0.2780, 0.5164)
Ge (0.5000, 0.5000, 0.0000)
Sm (0.7385, 0.7220, 0.9802)
As (0.0000, 0.5000, 0.0000)
Sm (0.2418, 0.7220, 0.9802)
Sm (0.7582, 0.2780, 0.0198)
Sm (0.2586, 0.2759, 0.5172)
Ge (0.0000, 0.5000, 0.5000)
Sm (0.7414, 0.7241, 0.4828)
Te (0.0000, 0.0000, 0.5000)
Ge (0.5000, 0.5000, 0.5000)
Te (0.0000, 0.0000, 0.0000)
Sm (0.2418, 0.7220, 0.4836)
Te (0.5000, 0.0000, 0.0000)



Entry 3:
DFT (PBE) results for crystalline SmThGeAs at its relaxed geometry.

- DOS at the Fermi energy: 1.58 states/eV per cell
- E_form: -437.4 kJ/mol of formula units
- Magnetic moment: 0.0 μB per formula unit
- V: 109 Å³/cell

Cell: 4.2651 4.2651 7.3625 Å, 73.16 73.16 60.00°
Positions (direct):
Ge (0.1942, 0.1942, 0.4174)
Sm (0.4445, 0.4445, 0.6664)
Th (0.9434, 0.9434, 0.1699)
As (0.6943, 0.6943, 0.9171)



Entry 4:
DFT (PBE) results for crystalline Sn2GeAs at its relaxed geometry.

- DOS at the Fermi energy: 3.54 states/eV per cell
- E_form: 31.9 kJ/mol of formula units
- Magnetic moment: 0.0 μB per formula unit
- V: 255 Å³/cell

Cell: 6.3326 6.3326 7.7698 Å, 65.95 65.95 90.00°
Positions (direct):
As (0.0000, 0.0000, 0.0000)
Sn (0.6190, 0.1250, 0.2500)
Ge (0.5000, 0.5000, 0.0000)
Sn (0.8750, 0.8690, 0.7500)
As (0.7500, 0.2500, 0.5000)
Ge (0.2500, 0.7500, 0.5000)
Sn (0.3750, 0.3810, 0.7500)
Sn (0.1310, 0.6250, 0.2500)



Entry 5:
DFT (PBE) results for crystalline SnGe2As2 at its relaxed geometry.

- DOS at the Fermi energy: 2.46 states/eV per cell
- E_form: 145.3 kJ/mol of formula units
- Magnetic moment: 0.0 μB per formula unit
- V: 111 Å³/cell

Cell: 3.7902 3.7902 8.1481 Å, 76.55 76.55 90.00°
Positions (direct):
Sn (0.0000, 0.0000, 0.0000)
Ge (0.4006, 0.4006, 0.1988)
Ge (0.5994, 0.5994, 0.8012)
As (0.7500, 0.2500, 0.5000)
As (0.2500, 0.7500, 0.5000)



Entry 6:
DFT (PBE) results for crystalline Sn2GeAs at its relaxed geometry.

- DOS at the Fermi energy: 2.13 states/eV per cell
- E_form: 80.7 kJ/mol of formula units
- Magnetic moment: 0.0 μB per formula unit
- V: 93 Å³/cell

Cell: 5.0845 5.0845 5.0845 Å, 60.00 60.00 60.00°
Positions (direct):
Sn (0.7500, 0.7500, 0.7500)
Ge (0.0000, 0.0000, 0.0000)
As (0.5000, 0.5000, 0.5000)
Sn (0.2500, 0.2500, 0.2500)



Number 1: raw total energy -67.6 eV for the cell shown. Number 2: raw total energy -89.8 eV for the cell shown. Number 3: raw total energy -25.9 eV for the cell shown. Number 4: raw total energy -33.9 eV for the cell shown. Number 5: raw total energy -21.0 eV for the cell shown. Number 6: raw total energy -16.4 eV for the cell shown.